Entry 1:
Below is CdNi2O4 at its PBEsol-relaxed geometry, with properties calculated at the meta-GGA SCAN level.

a b c (Å): 6.0048 6.0048 6.0048
angles (deg): 121.19 121.19 87.95
With the nearest neighbours (Å) after each atom.
Element x y z (fractional)
Cd (0.3750, 0.6250, 0.7500)  4 O 2.14
Cd (0.6250, 0.3750, 0.2500)  4 O 2.14
Ni (0.0000, 0.0000, 0.0000)  6 O 1.93-1.98
Ni (0.0000, 0.0000, 0.5000)  6 O 1.93-1.98
Ni (0.0000, 0.5000, 0.0000)  6 O 1.93-1.98
Ni (0.5000, 0.0000, 0.5000)  6 O 1.93-1.98
O (0.1867, 0.2269, 0.9599)  3 Ni 1.93-1.98, 1 Cd 2.14
O (0.2269, 0.1867, 0.4599)  3 Ni 1.93-1.98, 1 Cd 2.14
O (0.2269, 0.7670, 0.0401)  3 Ni 1.93-1.98, 1 Cd 2.14
O (0.2330, 0.7731, 0.4599)  3 Ni 1.93-1.98, 1 Cd 2.14
O (0.7670, 0.2269, 0.5401)  3 Ni 1.93-1.98, 1 Cd 2.14
O (0.7731, 0.2330, 0.9599)  3 Ni 1.93-1.98, 1 Cd 2.14
O (0.7731, 0.8133, 0.5401)  3 Ni 1.93-1.98, 1 Cd 2.14
O (0.8133, 0.7731, 0.0401)  3 Ni 1.93-1.98, 1 Cd 2.14

Properties
The value obtained for the calculated volume is 75 Å³/f.u. The magnetization comes out at 0.29 μB per atom. The space-group type is No. 141. For the uncorrected energy, the calculation gives -1.008 Ry per atom.


Entry 2:
Below is CdNi3O at its PBEsol-relaxed geometry, with properties calculated at the meta-GGA SCAN level.

a b c (Å): 4.6007 4.6007 4.6007
angles (deg): 90.00 90.00 90.00
With the nearest neighbours (Å) after each atom.
Element x y z (fractional)
Cd (0.0000, 0.0000, 0.0000)  6 Ni 2.30
Ni (0.0000, 0.0000, 0.5000)  2 Cd 2.30
Ni (0.0000, 0.5000, 0.0000)  2 Cd 2.30
Ni (0.5000, 0.0000, 0.0000)  2 Cd 2.30
O (0.5000, 0.5000, 0.5000)  12 Ni 3.25

Properties
The value obtained for the calculated volume is 97 Å³/f.u. The magnetization comes out at 0.78 μB per atom. The space-group type is No. 221. For the uncorrected energy, the calculation gives -1.121 Ry per atom.


Entry 3:
Below is CdNiOs2 at its PBEsol-relaxed geometry, with properties calculated at the meta-GGA SCAN level.

a b c (Å): 4.6124 2.7269 4.7785
angles (deg): 90.00 108.49 90.00
With the nearest neighbours (Å) after each atom.
Element x y z (fractional)
Cd (0.0000, 0.0000, 0.0000)  4 Ni 2.68, 2 Cd 2.73, 6 Os 2.74-2.75
Ni (0.5000, 0.5000, 0.0000)  4 Cd 2.68, 2 Ni 2.73, 6 Os 2.74-2.75
Os (0.0000, 0.5000, 0.5000)  6 Os 2.68-2.73, 2 Ni 2.74, 4 Cd 2.75
Os (0.5000, 0.0000, 0.5000)  6 Os 2.68-2.73, 2 Cd 2.74, 4 Ni 2.75

Properties
The calculation puts the formation energy at 0.531 eV per atom. The value obtained for the calculated volume is 57 Å³/f.u. The magnetization comes out at 0.00 μB per atom. The space-group type is No. 10.


Entry 4:
Below is Cd2NiOs at its PBEsol-relaxed geometry, with properties calculated at the meta-GGA SCAN level.

a b c (Å): 4.0346 4.0346 7.6248
angles (deg): 90.00 90.00 90.00
With the nearest neighbours (Å) after each atom.
Element x y z (fractional)
Cd (0.0000, 0.0000, 0.0000)  4 Cd 2.78, 4 Os 2.78, 4 Ni 2.85
Cd (0.0000, 0.5000, 0.2500)  4 Cd 2.78, 4 Ni 2.78, 4 Os 2.85
Cd (0.5000, 0.0000, 0.7500)  4 Cd 2.78, 4 Ni 2.78, 4 Os 2.85
Cd (0.5000, 0.5000, 0.5000)  4 Cd 2.78, 4 Os 2.78, 4 Ni 2.85
Ni (0.0000, 0.0000, 0.5000)  8 Cd 2.78-2.85, 4 Os 2.78
Ni (0.5000, 0.5000, 0.0000)  8 Cd 2.78-2.85, 4 Os 2.78
Os (0.0000, 0.5000, 0.7500)  8 Cd 2.78-2.85, 4 Ni 2.78
Os (0.5000, 0.0000, 0.2500)  8 Cd 2.78-2.85, 4 Ni 2.78

Properties
The calculation puts the formation energy at 0.605 eV per atom. The value obtained for the calculated volume is 62 Å³/f.u. The magnetization comes out at 0.45 μB per atom. The space-group type is No. 119.


Entry 5:
Below is CdNi2Os at its PBEsol-relaxed geometry, with properties calculated at the meta-GGA SCAN level.

a b c (Å): 2.6710 2.6710 7.4412
angles (deg): 90.00 90.00 90.00
With the nearest neighbours (Å) after each atom.
Element x y z (fractional)
Cd (0.0000, 0.0000, 0.0000)  4 Cd 2.67, 8 Ni 2.76
Ni (0.5000, 0.5000, 0.2711)  4 Os 2.54, 4 Ni 2.67, 4 Cd 2.76
Ni (0.5000, 0.5000, 0.7289)  4 Os 2.54, 4 Ni 2.67, 4 Cd 2.76
Os (0.0000, 0.0000, 0.5000)  8 Ni 2.54, 4 Os 2.67

Properties
The calculation puts the formation energy at 0.177 eV per atom. The value obtained for the calculated volume is 53 Å³/f.u. The magnetization comes out at 0.00 μB per atom. The space-group type is No. 123.


Entry 6:
Below is CdNi2Os at its PBEsol-relaxed geometry, with properties calculated at the meta-GGA SCAN level.

a b c (Å): 8.3574 2.6375 5.0193
angles (deg): 90.00 97.65 90.00
With the nearest neighbours (Å) after each atom.
Element x y z (fractional)
Cd (0.0000, 0.0000, 0.0000)  2 Cd 2.64, 6 Ni 2.67-2.76, 4 Os 2.84
Cd (0.5000, 0.5000, 0.0000)  2 Cd 2.64, 6 Ni 2.67-2.76, 4 Os 2.84
Ni (0.2446, 0.0000, 0.7088)  4 Ni 2.49-2.64, 3 Os 2.50-2.54, 3 Cd 2.67-2.76
Ni (0.2554, 0.5000, 0.2912)  4 Ni 2.49-2.64, 3 Os 2.50-2.54, 3 Cd 2.67-2.76
Ni (0.7446, 0.5000, 0.7088)  4 Ni 2.49-2.64, 3 Os 2.50-2.54, 3 Cd 2.67-2.76
Ni (0.7554, 0.0000, 0.2912)  4 Ni 2.49-2.64, 3 Os 2.50-2.54, 3 Cd 2.67-2.76
Os (0.0000, 0.5000, 0.5000)  6 Ni 2.50-2.54, 2 Os 2.64
Os (0.5000, 0.0000, 0.5000)  6 Ni 2.50-2.54, 2 Os 2.64

Properties
The calculation puts the formation energy at 0.397 eV per atom. The value obtained for the calculated volume is 55 Å³/f.u. The magnetization comes out at 0.00 μB per atom. The space-group type is No. 12.


Entry 7:
Below is CdNi2Os at its PBEsol-relaxed geometry, with properties calculated at the meta-GGA SCAN level.

a b c (Å): 9.0777 2.6460 4.5462
angles (deg): 90.00 104.83 90.00
With the nearest neighbours (Å) after each atom.
Element x y z (fractional)
Cd (0.0000, 0.0000, 0.0000)  7 Ni 2.57-2.64, 2 Cd 2.65
Cd (0.5000, 0.5000, 0.0000)  7 Ni 2.57-2.64, 2 Cd 2.65
Ni (0.0163, 0.5000, 0.5059)  3 Os 2.50-2.62, 4 Ni 2.53-2.65, 4 Cd 2.62-2.64
Ni (0.2422, 0.0000, 0.8070)  4 Ni 2.53-2.65, 4 Os 2.55-2.75, 3 Cd 2.57-2.64
Ni (0.5163, 0.0000, 0.5059)  3 Os 2.50-2.62, 4 Ni 2.53-2.65, 4 Cd 2.62-2.64
Ni (0.7422, 0.5000, 0.8070)  4 Ni 2.53-2.65, 4 Os 2.55-2.75, 3 Cd 2.57-2.64
Os (0.2745, 0.5000, 0.3490)  7 Ni 2.50-2.75, 2 Os 2.65
Os (0.7745, 0.0000, 0.3490)  7 Ni 2.50-2.75, 2 Os 2.65

Properties
The calculation puts the formation energy at 0.306 eV per atom. The value obtained for the calculated volume is 53 Å³/f.u. The magnetization comes out at 0.00 μB per atom. The space-group type is No. 8.


Entry 8:
Below is CdNi2Os at its PBEsol-relaxed geometry, with properties calculated at the meta-GGA SCAN level.

a b c (Å): 2.7403 2.7403 7.1022
angles (deg): 90.00 90.00 90.00
With the nearest neighbours (Å) after each atom.
Element x y z (fractional)
Cd (0.0000, 0.0000, 0.0000)  4 Ni 2.71, 4 Cd 2.74, 4 Os 2.94
Ni (0.0000, 0.0000, 0.4723)  4 Ni 2.42, 4 Os 2.47
Ni (0.5000, 0.5000, 0.2677)  4 Ni 2.42
Os (0.5000, 0.5000, 0.6890)  4 Ni 2.47, 4 Os 2.74

Properties
The calculation puts the formation energy at 0.326 eV per atom. The value obtained for the calculated volume is 53 Å³/f.u. The magnetization comes out at 0.00 μB per atom. The space-group type is No. 99.


Entry 9:
Below is CdNiOs2 at its PBEsol-relaxed geometry, with properties calculated at the meta-GGA SCAN level.

a b c (Å): 2.7251 2.7251 26.5683
angles (deg): 90.00 90.00 120.00
With the nearest neighbours (Å) after each atom.
Element x y z (fractional)
Cd (0.0000, 0.0000, 0.0000)  6 Cd 2.73, 6 Os 2.91
Cd (0.3333, 0.6667, 0.6667)  6 Cd 2.73, 6 Os 2.91
Cd (0.6667, 0.3333, 0.3333)  6 Cd 2.73, 6 Os 2.91
Ni (0.0000, 0.0000, 0.5000)  6 Os 2.53, 6 Ni 2.73
Ni (0.3333, 0.6667, 0.1667)  6 Os 2.53, 6 Ni 2.73
Ni (0.6667, 0.3333, 0.8333)  6 Os 2.53, 6 Ni 2.73
Os (0.0000, 0.0000, 0.2413)  3 Ni 2.53, 6 Os 2.73
Os (0.0000, 0.0000, 0.7587)  3 Ni 2.53, 6 Os 2.73
Os (0.3333, 0.6667, 0.4254)  3 Ni 2.53, 6 Os 2.73
Os (0.3333, 0.6667, 0.9079)  3 Ni 2.53, 6 Os 2.73
Os (0.6667, 0.3333, 0.0921)  3 Ni 2.53, 6 Os 2.73
Os (0.6667, 0.3333, 0.5746)  3 Ni 2.53, 6 Os 2.73

Properties
The calculation puts the formation energy at 0.464 eV per atom. The value obtained for the calculated volume is 57 Å³/f.u. The magnetization comes out at 0.00 μB per atom. The space-group type is No. 166.


Entry 10:
Below is CdNi2P at its PBEsol-relaxed geometry, with properties calculated at the meta-GGA SCAN level.

a b c (Å): 2.8242 2.8242 6.4092
angles (deg): 90.00 90.00 90.00
With the nearest neighbours (Å) after each atom.
Element x y z (fractional)
Cd (0.0000, 0.0000, 0.0000)  8 Ni 2.81, 4 Cd 2.82
Ni (0.5000, 0.5000, 0.3083)  4 P 2.34, 1 Ni 2.46
Ni (0.5000, 0.5000, 0.6917)  4 P 2.34, 1 Ni 2.46
P (0.0000, 0.0000, 0.5000)  8 Ni 2.34

Properties
The calculation puts the formation energy at -0.120 eV per atom. The value obtained for the calculated volume is 51 Å³/f.u. The magnetization comes out at 0.00 μB per atom. The space-group type is No. 123.


Entry 11:
Below is CdNiP3 at its PBEsol-relaxed geometry, with properties calculated at the meta-GGA SCAN level.

a b c (Å): 4.4193 4.4193 4.4193
angles (deg): 90.00 90.00 90.00
With the nearest neighbours (Å) after each atom.
Element x y z (fractional)
Cd (0.0000, 0.0000, 0.0000)  12 P 3.12
Ni (0.5000, 0.5000, 0.5000)  6 P 2.21
P (0.0000, 0.5000, 0.5000)  2 Ni 2.21
P (0.5000, 0.0000, 0.5000)  2 Ni 2.21
P (0.5000, 0.5000, 0.0000)  2 Ni 2.21

Properties
The calculation puts the formation energy at 0.640 eV per atom. The value obtained for the calculated volume is 86 Å³/f.u. The magnetization comes out at 0.00 μB per atom. The space-group type is No. 221.


Entry 12:
Below is CdNi2P at its PBEsol-relaxed geometry, with properties calculated at the meta-GGA SCAN level.

a b c (Å): 2.7419 3.2829 12.5293
angles (deg): 90.00 90.00 90.00
With the nearest neighbours (Å) after each atom.
Element x y z (fractional)
Cd (0.0000, 0.0000, 0.0000)  6 Ni 2.69-2.79, 2 Cd 2.74
Cd (0.5000, 0.5000, 0.5000)  6 Ni 2.69-2.79, 2 Cd 2.74
Ni (0.0000, 0.0000, 0.6309)  2 P 2.18
Ni (0.0000, 0.5000, 0.8202)  4 P 2.24
Ni (0.5000, 0.0000, 0.3202)  4 P 2.24
Ni (0.5000, 0.5000, 0.1309)  2 P 2.18
P (0.0000, 0.5000, 0.2658)  6 Ni 2.18-2.24
P (0.5000, 0.0000, 0.7658)  6 Ni 2.18-2.24

Properties
The calculation puts the formation energy at -0.116 eV per atom. The value obtained for the calculated volume is 56 Å³/f.u. The magnetization comes out at 0.00 μB per atom. The space-group type is No. 44.


Entry 13:
Below is CdNi2P at its PBEsol-relaxed geometry, with properties calculated at the meta-GGA SCAN level.

a b c (Å): 4.0613 4.0613 3.1206
angles (deg): 90.00 90.00 90.00
With the nearest neighbours (Å) after each atom.
Element x y z (fractional)
Cd (0.0000, 0.0000, 0.0000)  8 Ni 2.56
Ni (0.0000, 0.5000, 0.5000)  4 Cd 2.56, 4 P 2.56
Ni (0.5000, 0.0000, 0.5000)  4 Cd 2.56, 4 P 2.56
P (0.5000, 0.5000, 0.0000)  8 Ni 2.56

Properties
The calculation puts the formation energy at 0.140 eV per atom. The value obtained for the calculated volume is 51 Å³/f.u. The magnetization comes out at 0.00 μB per atom. The space-group type is No. 123.